# 1
DFT (PBE) results for an optimized crystal structure of RbSr2Tl2Sn2.

a = 5.5774 Å, b = 5.5774 Å, c = 31.4703 Å
α = 90.00°, β = 90.00°, γ = 120.00°
Space group R-3m (No. 166, hexagonal axes)
Asymmetric unit:
Rb: 0.0000 0.0000 0.0000
Sr: 0.0000 0.0000 0.1317
Tl: 0.0000 0.0000 0.4360
Sn: 0.0000 0.0000 0.2451

Properties
The value obtained for the density of states at the Fermi level is 12.1 states/eV per cell. For the formation energy, the calculation gives -272 meV per atom. For the volume, the calculation gives 847.8 Å³/cell.


# 2
DFT (PBE) results for an optimized crystal structure of RbSr2YSn.

a = 6.4921 Å, b = 6.4921 Å, c = 6.4482 Å
α = 90.00°, β = 90.00°, γ = 90.00°
Space group P4/mmm (No. 123)
Asymmetric unit:
Rb: 0.0000 0.0000 0.0000
Sr: 0.0000 0.5000 0.5000
Y: 0.0000 0.0000 0.5000
Sn: 0.5000 0.5000 0.0000

Properties
The value obtained for the density of states at the Fermi level is 1.7 states/eV per cell. For the formation energy, the calculation gives 886 meV per atom. For the volume, the calculation gives 271.8 Å³/cell.


# 3
DFT (PBE) results for an optimized crystal structure of Rb2TaSn.

a = 13.6356 Å, b = 13.6356 Å, c = 5.4746 Å
α = 90.00°, β = 90.00°, γ = 90.00°
Space group I-42d (No. 122)
Asymmetric unit:
Rb: 0.0746 0.2500 0.1250
Ta: 0.0000 0.0000 0.5000
Sn: 0.0000 0.0000 0.0000

Properties
The value obtained for the density of states at the Fermi level is 15.9 states/eV per cell. For the formation energy, the calculation gives 1040 meV per atom. For the volume, the calculation gives 1017.9 Å³/cell.


# 4
DFT (PBE) results for an optimized crystal structure of RbTa2Sn.

a = 8.4966 Å, b = 8.4966 Å, c = 5.9449 Å
α = 90.00°, β = 90.00°, γ = 90.00°
Space group I-42d (No. 122)
Asymmetric unit:
Rb: 0.0000 0.0000 0.0000
Ta: 0.2021 0.2500 0.6250
Sn: 0.0000 0.0000 0.5000

Properties
The value obtained for the density of states at the Fermi level is 28.6 states/eV per cell. For the formation energy, the calculation gives 1716 meV per atom. For the volume, the calculation gives 429.2 Å³/cell.


# 5
DFT (PBE) results for an optimized crystal structure of Rb3TaSn.

a = 6.8402 Å, b = 6.8402 Å, c = 6.8402 Å
α = 90.00°, β = 90.00°, γ = 90.00°
Space group Pm-3m (No. 221)
Asymmetric unit:
Rb: 0.0000 0.0000 0.5000
Ta: 0.0000 0.0000 0.0000
Sn: 0.5000 0.5000 0.5000

Properties
The value obtained for the density of states at the Fermi level is 6.4 states/eV per cell. For the formation energy, the calculation gives 1509 meV per atom. For the volume, the calculation gives 320.0 Å³/cell.


# 6
DFT (PBE) results for an optimized crystal structure of RbTa2SnTe.

a = 5.1787 Å, b = 5.1787 Å, c = 6.1397 Å
α = 90.00°, β = 90.00°, γ = 90.00°
Space group P4/mmm (No. 123)
Asymmetric unit:
Rb: 0.0000 0.0000 0.0000
Ta: 0.0000 0.5000 0.5000
Sn: 0.5000 0.5000 0.0000
Te: 0.0000 0.0000 0.5000

Properties
The uncorrected formation energy comes out at 1.48 eV per atom. The value obtained for the density of states at the Fermi level is 5.8 states/eV per cell. For the volume, the calculation gives 164.7 Å³/cell.


# 7
DFT (PBE) results for an optimized crystal structure of Rb2TaTiSn.

a = 6.7283 Å, b = 6.7283 Å, c = 4.7004 Å
α = 90.00°, β = 90.00°, γ = 90.00°
Space group P4/mmm (No. 123)
Asymmetric unit:
Rb: 0.0000 0.5000 0.0000
Ta: 0.0000 0.0000 0.0000
Ti: 0.0000 0.0000 0.5000
Sn: 0.5000 0.5000 0.5000

Properties
The value obtained for the density of states at the Fermi level is 5.6 states/eV per cell. For the formation energy, the calculation gives 1508 meV per atom. For the volume, the calculation gives 212.8 Å³/cell.


# 8
DFT (PBE) results for an optimized crystal structure of RbTbSn2.

a = 4.1160 Å, b = 4.1160 Å, c = 8.1724 Å
α = 90.00°, β = 90.00°, γ = 90.00°
Space group P4/mmm (No. 123)
Asymmetric unit:
Rb: 0.0000 0.0000 0.0000
Tb: 0.0000 0.0000 0.5000
Sn: 0.5000 0.5000 0.3211

Properties
The value obtained for the density of states at the Fermi level is 1.6 states/eV per cell. For the formation energy, the calculation gives -416 meV per atom. For the volume, the calculation gives 138.5 Å³/cell.


# 9
DFT (PBE) results for an optimized crystal structure of Rb3Tb3SnTe8.

a = 15.4310 Å, b = 8.8896 Å, c = 10.1912 Å
α = 90.00°, β = 120.36°, γ = 90.00°
Space group C2/m (No. 12)
Asymmetric unit:
Rb: 0.0000 0.0000 0.0000
Rb: 0.2500 0.2500 0.0000
Tb: 0.0000 0.5000 0.5000
Tb: 0.2500 0.2500 0.5000
Sn: 0.0000 0.0000 0.5000
Te: 0.0168 0.2460 0.3045
Te: 0.2293 0.0000 0.6956
Te: 0.2335 0.5000 0.7004

Properties
The uncorrected formation energy comes out at -1.11 eV per atom. The value obtained for the density of states at the Fermi level is 7.3 states/eV per cell. For the volume, the calculation gives 1206.2 Å³/cell.


# 10
DFT (PBE) results for an optimized crystal structure of RbTlTcSn2.

a = 5.2687 Å, b = 5.2687 Å, c = 5.4483 Å
α = 90.00°, β = 90.00°, γ = 90.00°
Space group P4/mmm (No. 123)
Asymmetric unit:
Rb: 0.0000 0.0000 0.0000
Tl: 0.5000 0.5000 0.0000
Tc: 0.5000 0.5000 0.5000
Sn: 0.0000 0.5000 0.5000

Properties
The value obtained for the density of states at the Fermi level is 4.2 states/eV per cell. For the formation energy, the calculation gives 72 meV per atom. For the volume, the calculation gives 151.2 Å³/cell.


# 11
DFT (PBE) results for an optimized crystal structure of Rb2YTcSn.

a = 7.3700 Å, b = 7.3700 Å, c = 5.6611 Å
α = 90.00°, β = 90.00°, γ = 90.00°
Space group P4/mmm (No. 123)
Asymmetric unit:
Rb: 0.0000 0.5000 0.0000
Y: 0.0000 0.0000 0.0000
Tc: 0.5000 0.5000 0.5000
Sn: 0.0000 0.0000 0.5000

Properties
The value obtained for the density of states at the Fermi level is 10.0 states/eV per cell. For the formation energy, the calculation gives 1574 meV per atom. For the volume, the calculation gives 307.5 Å³/cell.


# 12
DFT (PBE) results for an optimized crystal structure of RbSn2Te3.

a = 4.2494 Å, b = 12.7408 Å, c = 8.5259 Å
α = 90.00°, β = 90.00°, γ = 90.00°
Space group Pmc2_1 (No. 26)
Asymmetric unit:
Rb: 0.0000 0.1407 0.0000
Sn: 0.0000 0.2191 0.5011
Sn: 0.5000 0.4978 0.0338
Te: 0.0000 0.3954 0.7268
Te: 0.5000 0.0854 0.6452
Te: 0.5000 0.3106 0.2665

Properties
The uncorrected formation energy comes out at -0.44 eV per atom. The value obtained for the density of states at the Fermi level is 2.8 states/eV per cell. For the volume, the calculation gives 461.6 Å³/cell.